Sm2DyY: optimized geometry, PBE-GGA.

Formation energy: 0.1261 eV per atom
Excess energy over the best structure of this formula in the dataset: 114 meV per atom

Cell and atoms, written as CIF:
```
data_Sm2DyY
_chemical_formula_sum 'Sm8 Dy4 Y4'
_space_group_name_H-M_alt 'F m -3 m'
_space_group_IT_number 225
_space_group_name_Hall '-F 4 2 3'
_cell_length_a 8.0964
_cell_length_b 8.0964
_cell_length_c 8.0964
_cell_angle_alpha 90.00
_cell_angle_beta 90.00
_cell_angle_gamma 90.00
loop_
_atom_site_label
_atom_site_fract_x
_atom_site_fract_y
_atom_site_fract_z
_atom_site_occupancy
Sm1 0.2500 0.2500 0.2500 1
Dy1 0.0000 0.0000 0.0000 1
Y1 0.0000 0.0000 0.5000 1
```